8
Lattice="7.9581 0.0000 0.0000 0.0000 7.9581 0.0000 3.9791 3.9791 3.1009" Properties=species:S:1:pos:R:3 comment="GGA-PBE La2MnAg, relaxed" sg="I-42d (122)" delta_e_f_ev_per_fu=1.44 dos_ef_per_ev_cell=5.49 magnetic_moment_mub_per_fu=0.19 density_g_cm3=7.45 pbc="T T T"
Mn 3.9791 3.9791 0.0000
Mn 3.9791 7.9581 1.5504
Ag 0.0000 0.0000 0.0000
Ag 7.9581 3.9791 1.5504
La 5.4515 1.9895 0.7752
La 2.5067 5.9686 0.7752
La 5.9686 6.4858 2.3257
La 9.9477 9.4305 2.3257

***

4
Lattice="3.7487 0.0000 0.0000 0.0000 3.7487 0.0000 0.0000 0.0000 7.6837" Properties=species:S:1:pos:R:3 comment="GGA-PBE La2MnAg, relaxed" sg="P4/mmm (123)" delta_e_f_ev_per_fu=0.07 dos_ef_per_ev_cell=4.41 magnetic_moment_mub_per_fu=3.16 density_g_cm3=6.78 pbc="T T T"
Ag 1.8743 1.8743 5.7628
La 0.0000 0.0000 0.0713
La 0.0000 0.0000 3.7706
Mn 1.8743 1.8743 1.9209

***

4
Lattice="-2.7514 -0.5700 2.2082 1.3285 -3.2131 0.8259 4.3543 3.4219 6.3086" Properties=species:S:1:pos:R:3 comment="GGA-PBE La2MnAg, relaxed" sg="P4mm (99)" delta_e_f_ev_per_fu=0.54 dos_ef_per_ev_cell=4.74 magnetic_moment_mub_per_fu=3.62 density_g_cm3=6.82 pbc="T T T"
Ag 2.3295 0.4983 5.9229
La 4.1312 3.2466 5.9854
La 0.6192 -0.8458 3.4450
Mn 2.3828 1.8726 3.4523

***

4
Lattice="-0.2925 -5.1204 0.2517 0.9094 -2.4082 4.4430 -3.8601 -2.2289 2.5492" Properties=species:S:1:pos:R:3 comment="GGA-PBE La2MnAg, relaxed" sg="F-43m (216)" delta_e_f_ev_per_fu=0.56 dos_ef_per_ev_cell=6.17 magnetic_moment_mub_per_fu=3.61 density_g_cm3=7.64 pbc="T T T"
Ag -1.6216 -4.8787 3.6220
La 0.0000 0.0000 0.0000
La -0.8108 -2.4394 1.8110
Mn -2.4324 -7.3181 5.4330

***

5
Lattice="-1.3098 5.1476 -2.7433 -0.6209 -2.9187 -5.1803 -4.8516 0.5449 -3.1751" Properties=species:S:1:pos:R:3 comment="GGA-PBE La2MnAg2, relaxed" sg="I4/mmm (139)" delta_e_f_ev_per_fu=0.99 dos_ef_per_ev_cell=6.17 magnetic_moment_mub_per_fu=3.40 density_g_cm3=6.36 pbc="T T T"
Mn 0.0000 0.0000 0.0000
Ag -2.2227 0.9302 -3.7073
Ag -4.5595 1.8437 -7.3914
La -3.5633 3.4035 -4.9401
La -3.2189 -0.6297 -6.1586

***

4
Lattice="9.8914 0.0359 0.0212 9.2140 3.5976 0.0212 9.2140 1.7524 3.1420" Properties=species:S:1:pos:R:3 comment="GGA-PBE La2MnAg, relaxed" sg="R3m (160)" delta_e_f_ev_per_fu=1.27 dos_ef_per_ev_cell=4.25 magnetic_moment_mub_per_fu=3.71 density_g_cm3=6.65 pbc="T T T"
Ag 21.6022 4.1084 2.4292
La 0.2786 0.0530 0.0313
La 6.7484 1.2834 0.7589
Mn 13.8501 2.6340 1.5574

***

4
Lattice="8.9471 -0.1063 -0.0632 8.1495 3.6941 -0.0632 8.1495 1.7102 3.2750" Properties=species:S:1:pos:R:3 comment="GGA-PBE La2MnAg, relaxed" sg="R-3m (166)" delta_e_f_ev_per_fu=0.94 dos_ef_per_ev_cell=5.63 magnetic_moment_mub_per_fu=2.64 density_g_cm3=6.47 pbc="T T T"
Ag 18.9346 3.9735 2.3615
La 25.0851 5.2643 3.1286
La 12.7841 2.6828 1.5944
Mn 6.3115 1.3245 0.7872

***

3
Lattice="-1.9137 1.3047 -4.3270 -0.8594 -3.4038 -3.4296 -4.6133 -1.2462 -1.1188" Properties=species:S:1:pos:R:3 comment="GGA-PBE LaMnAg, relaxed" sg="F-43m (216)" delta_e_f_ev_per_fu=1.05 dos_ef_per_ev_cell=3.26 magnetic_moment_mub_per_fu=4.01 density_g_cm3=5.99 pbc="T T T"
Ag -5.5397 -2.5090 -6.6565
La 0.0000 0.0000 0.0000
Mn -3.6932 -1.6727 -4.4377

***

5
Lattice="-3.1620 4.5236 -0.9224 -4.5889 -2.9572 1.2281 0.5053 1.4504 5.3808" Properties=species:S:1:pos:R:3 comment="GGA-PBE LaMnAg3, relaxed" relative_energy_kj_per_mol_atoms=90.2 sg="Pm-3m (221)" delta_e_f_ev_per_fu=6.22 dos_ef_per_ev_cell=3.24 magnetic_moment_mub_per_fu=5.01 density_g_cm3=4.90 pbc="T T T"
Mn -3.6228 1.5084 2.8432
Ag -2.2945 -1.4786 0.6141
Ag 0.2527 0.7252 2.6904
Ag -1.5810 2.2618 -0.4612
La 0.0000 0.0000 0.0000

***

5
Lattice="4.9942 0.0000 0.0000 0.0000 4.9942 0.0000 0.0000 0.0000 4.9942" Properties=species:S:1:pos:R:3 comment="GGA-PBE LaMnAg3, relaxed" relative_energy_kj_per_mol_atoms=0.0 sg="Pm-3m (221)" delta_e_f_ev_per_fu=1.54 dos_ef_per_ev_cell=4.73 magnetic_moment_mub_per_fu=4.03 density_g_cm3=6.90 pbc="T T T"
Mn 0.0000 0.0000 0.0000
Ag 0.0000 2.4971 0.0000
Ag 0.0000 0.0000 2.4971
Ag 2.4971 0.0000 0.0000
La 2.4971 2.4971 2.4971

***

4
Lattice="-3.9988 1.0607 -2.6329 1.8483 -1.0427 -3.2274 -0.9888 -5.9548 -0.8972" Properties=species:S:1:pos:R:3 comment="GGA-PBE La2MnAg, relaxed" sg="Pm (6)" delta_e_f_ev_per_fu=0.14 dos_ef_per_ev_cell=4.51 magnetic_moment_mub_per_fu=3.00 density_g_cm3=6.65 pbc="T T T"
Ag -1.7258 -4.6021 -3.7998
La 0.9030 -6.4939 -3.9878
La -1.8353 -1.7434 -2.4817
Mn 0.8081 -3.5937 -2.6751

***

4
Lattice="5.8074 -0.1146 0.0000 2.2751 5.3444 0.0000 -4.0412 -2.6149 3.2511" Properties=species:S:1:pos:R:3 comment="GGA-PBE La2MnAg, relaxed" sg="I-4m2 (119)" delta_e_f_ev_per_fu=0.61 dos_ef_per_ev_cell=4.81 magnetic_moment_mub_per_fu=2.82 density_g_cm3=7.19 pbc="T T T"
Ag 2.9037 -0.0573 1.6255
La 0.0000 0.0000 0.0000
La 1.1375 2.6722 1.6255
Mn 4.0412 2.6149 0.0000

***

3
Lattice="6.1127 -0.1456 0.1123 5.1615 3.2092 0.6791 0.9512 -0.3021 3.3888" Properties=species:S:1:pos:R:3 comment="GGA-PBE LaMnAg, relaxed" sg="I4mm (107)" delta_e_f_ev_per_fu=0.41 dos_ef_per_ev_cell=2.73 magnetic_moment_mub_per_fu=3.43 density_g_cm3=7.19 pbc="T T T"
Ag 1.2580 -0.2021 3.3116
La 4.3339 0.8008 2.5377
Mn 7.5845 1.8607 1.7198

***

5
Lattice="5.3331 0.0000 0.0000 0.0000 5.3331 0.0000 0.0000 0.0000 3.7014" Properties=species:S:1:pos:R:3 comment="GGA-PBE La2MnAgN, relaxed" formation_energy_uncorrected_mev_per_atom=-567 sg="P4/mmm (123)" dos_ef_per_ev_cell=4.24 magnetic_moment_mub_per_fu=1.03 density_g_cm3=7.17 pbc="T T T"
N 0.0000 0.0000 0.0000
Mn 0.0000 0.0000 1.8507
Ag 2.6666 2.6666 1.8507
La 0.0000 2.6666 0.0000
La 2.6666 0.0000 0.0000

***

4
Lattice="5.3043 0.0000 0.0000 2.6522 4.5937 0.0000 2.6522 1.5312 4.3309" Properties=species:S:1:pos:R:3 comment="GGA-PBE LaNdMnAg, relaxed" sg="F-43m (216)" delta_e_f_ev_per_fu=0.22 dos_ef_per_ev_cell=4.29 magnetic_moment_mub_per_fu=3.12 density_g_cm3=7.02 pbc="T T T"
Mn 0.0000 0.0000 0.0000
Nd 7.9565 4.5937 3.2482
Ag 5.3043 3.0624 2.1655
La 2.6522 1.5312 1.0827